DFT (GGA-PBE) results for a relaxed LuPuGaTc crystal.

## Properties
Total energy (eV per cell): -32.8
SG: F-43m
Energy of formation (meV/atom): -137

a = 4.8744 Å, b = 4.8744 Å, c = 4.8744 Å
α = 60.00°, β = 60.00°, γ = 60.00°
Last column: nearest neighbours and their distance in Å.
Atoms (fractional coordinates):
Lu 0.0000 0.0000 0.0000  4 Tc 2.98, 4 Ga 2.98
Pu 0.5000 0.5000 0.5000  4 Tc 2.98, 4 Ga 2.98
Ga 0.2500 0.2500 0.2500  4 Pu 2.98, 4 Lu 2.98
Tc 0.7500 0.7500 0.7500  4 Pu 2.98, 4 Lu 2.98

***

DFT (GGA-PBE) results for a relaxed Pr6NdDy2Er crystal.

## Properties
Total energy (eV per cell): -92.2
SG: C2/c
Energy of formation (meV/atom): 113

a = 9.0189 Å, b = 9.0189 Å, c = 9.7457 Å
α = 93.79°, β = 93.79°, γ = 117.40°
Last column: nearest neighbours and their distance in Å.
Atoms (fractional coordinates):
Pr 0.0067 0.5635 0.1882  2 Pr 3.33-3.69, 1 Er 3.48, 1 Dy 3.51, 1 Nd 3.62
Pr 0.1159 0.7598 0.5546  7 Pr 3.49-3.84, 1 Dy 3.55, 2 Nd 3.70-3.87
Pr 0.2402 0.8841 0.9454  7 Pr 3.49-3.84, 1 Dy 3.55, 2 Nd 3.70-3.87
Pr 0.2942 0.5117 0.3826  3 Dy 3.33-3.52, 4 Pr 3.33-3.68, 2 Er 3.47-3.59
Pr 0.4365 0.9933 0.3118  2 Pr 3.33-3.69, 1 Er 3.48, 1 Dy 3.51, 1 Nd 3.62
Pr 0.4883 0.7058 0.1174  3 Dy 3.33-3.52, 4 Pr 3.33-3.68, 2 Er 3.47-3.59
Pr 0.5117 0.2942 0.8826  3 Dy 3.33-3.52, 4 Pr 3.33-3.68, 2 Er 3.47-3.59
Pr 0.5635 0.0067 0.6882  2 Pr 3.33-3.69, 1 Er 3.48, 1 Dy 3.51, 1 Nd 3.62
Pr 0.7058 0.4883 0.6174  3 Dy 3.33-3.52, 4 Pr 3.33-3.68, 2 Er 3.47-3.59
Pr 0.7598 0.1159 0.0546  7 Pr 3.49-3.84, 1 Dy 3.55, 2 Nd 3.70-3.87
Pr 0.8841 0.2402 0.4454  7 Pr 3.49-3.84, 1 Dy 3.55, 2 Nd 3.70-3.87
Pr 0.9933 0.4365 0.8118  2 Pr 3.33-3.69, 1 Er 3.48, 1 Dy 3.51, 1 Nd 3.62
Nd 0.0270 0.9730 0.2500  4 Dy 3.46-3.51, 4 Pr 3.62-3.70
Nd 0.9730 0.0270 0.7500  4 Dy 3.46-3.51, 4 Pr 3.62-3.70
Dy 0.2020 0.2990 0.0474  5 Pr 3.33-3.55, 2 Nd 3.46-3.51, 1 Er 3.56
Dy 0.2990 0.2020 0.5474  5 Pr 3.33-3.55, 2 Nd 3.46-3.51, 1 Er 3.56
Dy 0.7010 0.7980 0.4526  5 Pr 3.33-3.55, 2 Nd 3.46-3.51, 1 Er 3.56
Dy 0.7980 0.7010 0.9526  5 Pr 3.33-3.55, 2 Nd 3.46-3.51, 1 Er 3.56
Er 0.4116 0.5884 0.7500  6 Pr 3.47-3.59, 2 Dy 3.56
Er 0.5884 0.4116 0.2500  6 Pr 3.47-3.59, 2 Dy 3.56

***

DFT (GGA-PBE) results for a relaxed Dy2TiGe3Pt4 crystal.

## Properties
Total energy (eV per cell): -64.5
SG: P-4m2
Energy of formation (meV/atom): -935

a = 4.1057 Å, b = 4.1057 Å, c = 11.0933 Å
α = 90.00°, β = 90.00°, γ = 90.00°
Last column: nearest neighbours and their distance in Å.
Atoms (fractional coordinates):
Dy 0.0000 0.5000 0.2339  4 Ge 3.08, 8 Pt 3.22-3.31
Dy 0.5000 0.0000 0.7661  4 Ge 3.08, 8 Pt 3.22-3.31
Ti 0.0000 0.0000 0.5000  4 Pt 2.58
Ge 0.0000 0.5000 0.8600  5 Pt 2.43-2.57
Ge 0.5000 0.0000 0.1400  5 Pt 2.43-2.57
Ge 0.5000 0.5000 0.5000  4 Pt 2.58
Pt 0.0000 0.0000 0.0000  4 Ge 2.57
Pt 0.0000 0.5000 0.6406  3 Ge 2.43-2.58, 2 Ti 2.58
Pt 0.5000 0.0000 0.3594  3 Ge 2.43-2.58, 2 Ti 2.58
Pt 0.5000 0.5000 0.0000  4 Ge 2.57

***

DFT (GGA-PBE) results for a relaxed SrAuBr crystal.

## Properties
Relative energy among the computed polymorphs (meV/atom): 243
Total energy (eV per cell): -10.0
SG: I4mm

a = 6.6559 Å, b = 6.6559 Å, c = 6.6559 Å
α = 146.31°, β = 146.31°, γ = 48.38°
Last column: nearest neighbours and their distance in Å.
Atoms (fractional coordinates):
Sr 0.0000 0.0000 0.0000  4 Br 3.23, 4 Au 3.25
Au 0.6454 0.6454 0.0000  4 Sr 3.25, 1 Br 3.49
Br 0.3578 0.3578 0.0000  4 Sr 3.23, 1 Au 3.49